Entry from Alexandria: Be2PdRu after structural relaxation (PBE).

As for the crystal system: orthorhombic. The calculation puts the raw total energy at -4.96 eV per atom. For the energy of formation, the calculation gives 2.1 eV per formula unit. As for the space-group type: Immm.

a = 5.1812 Å, b = 5.1812 Å, c = 5.1812 Å
α = 151.30°, β = 126.40°, γ = 61.93°
With the nearest neighbours (Å) after each atom.
Fractional positions:
1 Be 0.2483 0.2483 0.0000  1 Pd 2.21, 1 Ru 2.24
2 Be 0.7517 0.7517 0.0000  1 Pd 2.21, 1 Ru 2.24
3 Pd 0.0000 0.0000 0.0000  2 Be 2.21
4 Ru 0.5000 0.5000 0.0000  2 Be 2.24